# SmScHgAu | the Alexandria database | GGA-PBE | relaxed
data_SmScHgAu
_cell_length_a 7.224
_cell_length_b 7.224
_cell_length_c 7.224
_cell_angle_alpha 90.00
_cell_angle_beta 90.00
_cell_angle_gamma 90.00
_space_group_name_H-M_alt 'F -4 3 m'
_space_group_IT_number 216
_space_group_name_Hall 'F -4 2 3'
loop_
_atom_site_label
_atom_site_fract_x
_atom_site_fract_y
_atom_site_fract_z
Sm1 0.000 0.000 0.000
Sc1 0.000 0.000 0.500
Hg1 0.250 0.250 0.750
Au1 0.250 0.250 0.250
# DOS(E_F) in states/eV/cell: 19.11
# Final energy in eV per atom: -4.2362
# Size of the total moment in μB/f.u.: 0.0